{"formula": "ZrTiHg2", "functional": "GGA-PBE", "state": "relaxed", "energy_ev_per_atom": -4.00, "relative_energy_ev_per_atom": 0.337, "cell": [[-7.676, 0.479, -0.708], [-0.215, -7.273, -2.591], [-4.263, -4.378, 1.131]], "species": ["Zr", "Zr", "Hg", "Hg", "Hg", "Hg", "Ti", "Ti"], "fractional_positions": [[0.750, 0.250, 0.500], [0.000, 0.000, 0.000], [0.375, 0.395, 0.750], [0.875, 0.855, 0.750], [0.605, 0.125, 0.250], [0.145, 0.625, 0.250], [0.250, 0.750, 0.500], [0.500, 0.500, 0.000]]}

=====

{"formula": "InOs2Cl", "functional": "GGA-PBE", "state": "relaxed", "energy_ev_per_atom": -5.82, "relative_energy_ev_per_atom": 0.674, "cell": [[2.853, 0.000, 0.000], [0.000, 4.951, 0.000], [0.000, 0.000, 4.734]], "species": ["In", "Os", "Os", "Cl"], "fractional_positions": [[0.000, 0.500, 0.500], [0.000, 0.000, 0.000], [0.500, 0.500, 0.000], [0.500, 0.000, 0.500]]}

=====

{"formula": "AcNd2Zr", "functional": "GGA-PBE", "state": "relaxed", "energy_ev_per_atom": -5.13, "relative_energy_ev_per_atom": 0.240, "cell": [[3.547, 0.000, 0.000], [1.773, 3.072, 0.000], [1.773, 1.024, 12.464]], "species": ["Ac", "Nd", "Nd", "Zr"], "fractional_positions": [[0.500, 0.500, 0.500], [0.083, 0.083, 0.750], [0.917, 0.917, 0.250], [0.000, 0.000, 0.000]]}

=====

{"formula": "Tl2InGe2O6", "functional": "GGA-PBE", "state": "relaxed", "energy_ev_per_atom": -5.39, "cell": [[5.982, 0.000, 0.000], [-2.991, 5.179, -0.208], [0.000, -3.207, 6.055]], "species": ["Ge", "Ge", "O", "O", "O", "O", "O", "O", "Tl", "Tl", "In"], "fractional_positions": [[0.925, 0.849, 0.773], [0.075, 0.151, 0.227], [0.244, 0.987, 0.728], [0.756, 0.013, 0.272], [0.258, 0.515, 0.275], [0.742, 0.485, 0.725], [0.743, 0.987, 0.728], [0.257, 0.013, 0.272], [0.711, 0.421, 0.132], [0.289, 0.579, 0.868], [0.500, 0.000, 0.500]]}

=====

{"formula": "Be2ZnSi", "functional": "GGA-PBE", "state": "relaxed", "energy_ev_per_atom": -2.98, "relative_energy_ev_per_atom": 0.284, "cell": [[-0.750, -2.385, -3.243], [2.306, -3.314, -0.681], [-1.582, -3.739, 0.531]], "species": ["Zn", "Be", "Be", "Si"], "fractional_positions": [[0.750, 0.750, 0.750], [0.000, 0.000, 0.000], [0.250, 0.250, 0.250], [0.500, 0.500, 0.500]]}

=====

{"formula": "Na2CaZr", "functional": "GGA-PBE", "state": "relaxed", "energy_ev_per_atom": -2.47, "relative_energy_ev_per_atom": 0.160, "cell": [[-2.600, 3.202, -7.914], [0.133, -8.257, -3.385], [-4.373, -2.933, -4.782]], "species": ["Na", "Na", "Na", "Na", "Zr", "Zr", "Ca", "Ca"], "fractional_positions": [[0.122, 0.625, 0.250], [0.628, 0.125, 0.250], [0.375, 0.372, 0.750], [0.875, 0.878, 0.750], [0.000, 0.000, 0.000], [0.750, 0.250, 0.500], [0.250, 0.750, 0.500], [0.500, 0.500, 0.000]]}

=====

{"formula": "Er8Tm5Sc", "functional": "GGA-PBE", "state": "relaxed", "energy_ev_per_atom": -4.39, "cell": [[7.882, 0.000, -2.533], [-4.017, 6.645, -2.872], [0.151, 0.000, 8.278]], "species": ["Er", "Er", "Er", "Er", "Er", "Er", "Er", "Er", "Tm", "Tm", "Tm", "Tm", "Tm", "Sc"], "fractional_positions": [[0.926, 0.090, 0.658], [0.342, 0.268, 0.431], [0.660, 0.394, 0.916], [0.522, 0.606, 0.266], [0.084, 0.744, 0.478], [0.569, 0.910, 0.836], [0.734, 0.256, 0.340], [0.164, 0.732, 0.074], [0.500, 0.000, 0.500], [0.868, 0.899, 0.186], [0.286, 0.101, 0.969], [0.031, 0.317, 0.132], [0.814, 0.683, 0.714], [0.250, 0.500, 0.750]]}

=====

{"formula": "TbSi2Os", "functional": "GGA-PBE", "state": "relaxed", "energy_ev_per_atom": -6.68, "cell": [[-1.833, 2.499, 0.044], [-3.014, -0.300, 0.659], [0.084, 1.834, 8.509]], "species": ["Si", "Si", "Tb", "Os"], "fractional_positions": [[0.265, 0.265, 0.206], [0.735, 0.735, 0.794], [0.500, 0.500, 0.500], [0.000, 0.000, 0.000]]}

=====

{"formula": "Ba2Tl2Ir", "functional": "GGA-PBE", "state": "relaxed", "energy_ev_per_atom": -3.44, "cell": [[7.551, 0.000, 0.000], [0.000, 7.551, 0.000], [0.000, 0.000, 5.568]], "species": ["Ba", "Ba", "Ba", "Ba", "Tl", "Tl", "Tl", "Tl", "Ir", "Ir"], "fractional_positions": [[0.324, 0.176, 0.500], [0.824, 0.324, 0.500], [0.176, 0.676, 0.500], [0.676, 0.824, 0.500], [0.149, 0.351, 0.000], [0.851, 0.649, 0.000], [0.649, 0.149, 0.000], [0.351, 0.851, 0.000], [0.000, 0.000, 0.000], [0.500, 0.500, 0.000]]}

=====

{"formula": "CeHgGe", "functional": "GGA-PBE", "state": "relaxed", "energy_ev_per_atom": -3.91, "cell": [[-0.374, 1.316, -4.655], [-4.301, 1.337, -1.805], [-0.811, 4.644, -1.151]], "species": ["Ce", "Hg", "Ge"], "fractional_positions": [[0.000, 0.000, 0.000], [0.500, 0.500, 0.500], [0.250, 0.250, 0.250]]}

=====

{"formula": "KTmBr4", "functional": "GGA-PBE", "state": "relaxed", "energy_ev_per_atom": -3.87, "relative_energy_ev_per_atom": 0.000, "cell": [[6.973, -0.006, 0.000], [-1.182, 8.377, 0.000], [-2.896, -4.186, 8.038]], "species": ["Br", "Br", "Br", "Br", "Br", "Br", "Br", "Br", "Tm", "Tm", "K", "K"], "fractional_positions": [[0.484, 0.754, 0.906], [0.516, 0.246, 0.094], [0.840, 0.640, 0.611], [0.160, 0.360, 0.389], [0.078, 0.849, 0.094], [0.728, 0.028, 0.389], [0.272, 0.972, 0.611], [0.922, 0.151, 0.906], [0.173, 0.923, 0.847], [0.827, 0.077, 0.153], [0.581, 0.331, 0.661], [0.419, 0.669, 0.339]]}

=====

{"formula": "AcErGe2Pd2", "functional": "GGA-PBE", "state": "relaxed", "energy_ev_per_atom": -5.65, "cell": [[-1.207, -3.281, -2.836], [4.358, 0.911, 0.663], [0.175, -4.962, 5.666]], "species": ["Pd", "Pd", "Ge", "Ge", "Ac", "Er"], "fractional_positions": [[0.333, 0.667, 0.691], [0.667, 0.333, 0.309], [0.667, 0.333, 0.714], [0.333, 0.667, 0.286], [0.000, 0.000, 0.000], [0.000, 0.000, 0.500]]}

=====

What did the sixth record say?
{"formula": "Na2CaZr", "functional": "GGA-PBE", "state": "relaxed", "energy_ev_per_atom": -2.47, "relative_energy_ev_per_atom": 0.160, "cell": [[-2.600, 3.202, -7.914], [0.133, -8.257, -3.385], [-4.373, -2.933, -4.782]], "species": ["Na", "Na", "Na", "Na", "Zr", "Zr", "Ca", "Ca"], "fractional_positions": [[0.122, 0.625, 0.250], [0.628, 0.125, 0.250], [0.375, 0.372, 0.750], [0.875, 0.878, 0.750], [0.000, 0.000, 0.000], [0.750, 0.250, 0.500], [0.250, 0.750, 0.500], [0.500, 0.500, 0.000]]}